Compound: ZnC2S2O2F2
Source: the Alexandria database
Functional: GGA-PBE
Structure: relaxed

a b c (Å): 3.0214 4.4858 10.3964
angles (deg): 98.32 90.42 109.59
Last column: nearest neighbours and their distance in Å.
Element x y z (fractional)
Zn (0.0000, 0.0000, 0.0000)  4 O 2.02
C (0.2510, 0.4887, 0.2900)  1 F 1.36
C (0.7490, 0.5113, 0.7100)  1 F 1.36
S (0.1959, 0.3995, 0.8138)  1 O 1.60
S (0.8041, 0.6005, 0.1862)  1 O 1.60
O (0.3602, 0.7238, 0.9157)  1 S 1.60
O (0.6398, 0.2762, 0.0843)  1 S 1.60
F (0.3533, 0.6889, 0.4059)  1 C 1.36
F (0.6467, 0.3111, 0.5941)  1 C 1.36

uncorrected formation energy = -208 meV per atom


Compound: ZnC2S2O2F2
Source: the Alexandria database
Functional: GGA-PBE
Structure: relaxed

a b c (Å): 3.8907 5.1129 8.5851
angles (deg): 81.74 79.24 67.68
Last column: nearest neighbours and their distance in Å.
Element x y z (fractional)
Zn (0.0000, 0.0000, 0.0000)  2 C 1.99
C (0.1765, 0.8212, 0.7946)  1 F 1.37
C (0.8235, 0.1788, 0.2054)  1 F 1.37
S (0.3614, 0.4873, 0.7504)  1 O 1.53, 1 C 1.65
S (0.6386, 0.5127, 0.2496)  1 O 1.53, 1 C 1.65
O (0.3957, 0.2884, 0.9033)  1 S 1.53
O (0.6043, 0.7116, 0.0967)  1 S 1.53
F (0.1477, 0.9980, 0.6571)  1 C 1.37
F (0.8523, 0.0020, 0.3429)  1 C 1.37

uncorrected formation energy = -440 meV per atom


Compound: ZnC2S2O6F6
Source: the Alexandria database
Functional: GGA-PBE
Structure: relaxed

a b c (Å): 10.9805 10.9805 10.9805
angles (deg): 26.73 26.73 26.73
Last column: nearest neighbours and their distance in Å.
Element x y z (fractional)
Zn (0.0000, 0.0000, 0.0000)  6 O 2.11
C (0.2239, 0.2239, 0.2239)  3 F 1.35
C (0.7761, 0.7761, 0.7761)  3 F 1.35
S (0.2829, 0.2829, 0.2829)  3 O 1.46
S (0.7171, 0.7171, 0.7171)  3 O 1.46
O (0.0394, 0.5940, 0.2483)  1 S 1.46
O (0.2483, 0.0394, 0.5940)  1 S 1.46
O (0.4060, 0.7518, 0.9606)  1 S 1.46
O (0.5940, 0.2483, 0.0394)  1 S 1.46
O (0.7517, 0.9606, 0.4060)  1 S 1.46
O (0.9606, 0.4060, 0.7517)  1 S 1.46
F (0.0541, 0.7610, 0.5561)  1 C 1.35
F (0.2390, 0.4439, 0.9459)  1 C 1.35
F (0.4439, 0.9459, 0.2390)  1 C 1.35
F (0.5561, 0.0541, 0.7610)  1 C 1.35
F (0.7610, 0.5561, 0.0541)  1 C 1.35
F (0.9459, 0.2390, 0.4439)  1 C 1.35

uncorrected formation energy = -1426 meV per atom


Compound: SbCO2F
Source: the Alexandria database
Functional: GGA-PBE
Structure: relaxed

a b c (Å): 3.9824 3.9824 4.1995
angles (deg): 90.00 90.00 90.00
Last column: nearest neighbours and their distance in Å.
Element x y z (fractional)
Sb (0.0000, 0.0000, 0.0000)  4 O 1.99, 2 F 2.10
C (0.5000, 0.5000, 0.5000)  4 F 2.82, 8 O 2.89
O (0.0000, 0.5000, 0.0000)  2 Sb 1.99
O (0.5000, 0.0000, 0.0000)  2 Sb 1.99
F (0.0000, 0.0000, 0.5000)  2 Sb 2.10

uncorrected formation energy = 384 meV per atom


Compound: SbCO2F
Source: the Alexandria database
Functional: GGA-PBE
Structure: relaxed

a b c (Å): 3.8243 3.8243 3.6383
angles (deg): 90.00 90.00 90.00
Last column: nearest neighbours and their distance in Å.
Element x y z (fractional)
Sb (0.0000, 0.0000, 0.0000)  8 O 2.64, 4 F 2.70
C (0.5000, 0.5000, 0.5000)  2 F 1.82, 4 O 1.91
O (0.0000, 0.5000, 0.5000)  2 C 1.91
O (0.5000, 0.0000, 0.5000)  2 C 1.91
F (0.5000, 0.5000, 0.0000)  2 C 1.82

uncorrected formation energy = 329 meV per atom


Compound: ScCOF2
Source: the Alexandria database
Functional: GGA-PBE
Structure: relaxed

a b c (Å): 3.9994 3.9994 4.2364
angles (deg): 90.00 90.00 90.00
Last column: nearest neighbours and their distance in Å.
Element x y z (fractional)
Sc (0.0000, 0.0000, 0.0000)  4 F 2.00, 2 O 2.12
C (0.5000, 0.5000, 0.5000)  4 O 2.83, 8 F 2.91
O (0.0000, 0.0000, 0.5000)  2 Sc 2.12
F (0.0000, 0.5000, 0.0000)  2 Sc 2.00
F (0.5000, 0.0000, 0.0000)  2 Sc 2.00

uncorrected formation energy = -1100 meV per atom


Compound: ScCO2F
Source: the Alexandria database
Functional: GGA-PBE
Structure: relaxed

a b c (Å): 3.6442 3.6442 3.5461
angles (deg): 90.00 90.00 90.00
Last column: nearest neighbours and their distance in Å.
Element x y z (fractional)
Sc (0.0000, 0.0000, 0.0000)  8 O 2.54, 4 F 2.58
C (0.5000, 0.5000, 0.5000)  2 F 1.77, 4 O 1.82
O (0.0000, 0.5000, 0.5000)  2 C 1.82
O (0.5000, 0.0000, 0.5000)  2 C 1.82
F (0.5000, 0.5000, 0.0000)  2 C 1.77

uncorrected formation energy = -628 meV per atom


Compound: ScCOF2
Source: the Alexandria database
Functional: GGA-PBE
Structure: relaxed

a b c (Å): 4.2451 4.2451 3.0712
angles (deg): 90.00 90.00 90.00
Last column: nearest neighbours and their distance in Å.
Element x y z (fractional)
Sc (0.0000, 0.0000, 0.0000)  8 F 2.62
C (0.5000, 0.5000, 0.5000)  2 O 1.54
O (0.5000, 0.5000, 0.0000)  2 C 1.54
F (0.0000, 0.5000, 0.5000)  2 C 2.12
F (0.5000, 0.0000, 0.5000)  2 C 2.12

uncorrected formation energy = -599 meV per atom


Compound: ScCO2F
Source: the Alexandria database
Functional: GGA-PBE
Structure: relaxed

a b c (Å): 4.1256 4.1256 3.9102
angles (deg): 90.00 90.00 90.00
Last column: nearest neighbours and their distance in Å.
Element x y z (fractional)
Sc (0.0000, 0.0000, 0.0000)  2 F 1.96, 4 O 2.06
C (0.5000, 0.5000, 0.5000)  8 O 2.84, 4 F 2.92
O (0.0000, 0.5000, 0.0000)  2 Sc 2.06
O (0.5000, 0.0000, 0.0000)  2 Sc 2.06
F (0.0000, 0.0000, 0.5000)  2 Sc 1.96

uncorrected formation energy = -442 meV per atom


Compound: SiCOF2
Source: the Alexandria database
Functional: GGA-PBE
Structure: relaxed

a b c (Å): 4.5439 4.5439 2.7439
angles (deg): 90.00 90.00 90.00
Last column: nearest neighbours and their distance in Å.
Element x y z (fractional)
Si (0.0000, 0.0000, 0.0000)  8 F 2.65, 2 Si 2.74
C (0.5000, 0.5000, 0.5000)  2 O 1.37
O (0.5000, 0.5000, 0.0000)  2 C 1.37
F (0.0000, 0.5000, 0.5000)  2 C 2.27
F (0.5000, 0.0000, 0.5000)  2 C 2.27

uncorrected formation energy = 216 meV per atom


Compound: SiCO2F
Source: the Alexandria database
Functional: GGA-PBE
Structure: relaxed

a b c (Å): 3.5250 3.5250 3.7117
angles (deg): 90.00 90.00 90.00
Last column: nearest neighbours and their distance in Å.
Element x y z (fractional)
Si (0.0000, 0.0000, 0.0000)  4 F 2.49, 8 O 2.56
C (0.5000, 0.5000, 0.5000)  4 O 1.76, 2 F 1.86
O (0.0000, 0.5000, 0.5000)  2 C 1.76
O (0.5000, 0.0000, 0.5000)  2 C 1.76
F (0.5000, 0.5000, 0.0000)  2 C 1.86

uncorrected formation energy = 491 meV per atom


Compound: SiCOF2
Source: the Alexandria database
Functional: GGA-PBE
Structure: relaxed

a b c (Å): 3.8602 3.8602 3.2880
angles (deg): 90.00 90.00 90.00
Last column: nearest neighbours and their distance in Å.
Element x y z (fractional)
Si (0.0000, 0.0000, 0.0000)  2 O 1.64
C (0.5000, 0.5000, 0.5000)  8 F 2.54, 4 O 2.73
O (0.0000, 0.0000, 0.5000)  2 Si 1.64
F (0.0000, 0.5000, 0.0000)  2 Si 1.93
F (0.5000, 0.0000, 0.0000)  2 Si 1.93

uncorrected formation energy = -317 meV per atom